# PBE-GGA PrGaH, relaxed
data_PrGaH
_space_group_name_H-M_alt 'P 1'
_space_group_IT_number 1
_cell_length_a 3.985
_cell_length_b 3.985
_cell_length_c 9.105
_cell_angle_alpha 77.36
_cell_angle_beta 77.36
_cell_angle_gamma 60.00
loop_
_space_group_symop_operation_xyz
'x,y,z'
loop_
_atom_site_label
_atom_site_type_symbol
_atom_site_fract_x
_atom_site_fract_y
_atom_site_fract_z
Pr1 Pr 0.275 0.275 0.174
Pr2 Pr 0.725 0.725 0.826
H1 H 0.367 0.367 0.900
H2 H 0.633 0.633 0.100
Ga1 Ga 0.143 0.143 0.572
Ga2 Ga 0.857 0.857 0.428
# DFT total energy: -4.172 eV per atom
# Crystal system: trigonal

=====

# PBE-GGA Pr6Ga3H, relaxed
data_Pr6Ga3H
_space_group_name_H-M_alt 'P 1'
_space_group_IT_number 1
_cell_length_a 6.474
_cell_length_b 8.448
_cell_length_c 10.047
_cell_angle_alpha 90.00
_cell_angle_beta 85.83
_cell_angle_gamma 90.00
loop_
_space_group_symop_operation_xyz
'x,y,z'
loop_
_atom_site_label
_atom_site_type_symbol
_atom_site_fract_x
_atom_site_fract_y
_atom_site_fract_z
Pr1 Pr 0.639 0.160 0.947
Pr2 Pr 0.613 0.194 0.559
Pr3 Pr 0.643 0.451 0.270
Pr4 Pr 0.357 0.549 0.730
Pr5 Pr 0.387 0.806 0.441
Pr6 Pr 0.361 0.840 0.053
Pr7 Pr 0.139 0.340 0.447
Pr8 Pr 0.113 0.306 0.059
Pr9 Pr 0.143 0.049 0.770
Pr10 Pr 0.857 0.951 0.230
Pr11 Pr 0.887 0.694 0.941
Pr12 Pr 0.861 0.660 0.553
Ga1 Ga 0.583 0.883 0.741
Ga2 Ga 0.500 0.500 0.000
Ga3 Ga 0.417 0.117 0.259
Ga4 Ga 0.083 0.617 0.241
Ga5 Ga 0.000 0.000 0.500
Ga6 Ga 0.917 0.383 0.759
H1 H 0.500 0.500 0.500
H2 H 0.000 0.000 0.000
# DFT total energy: -4.453 eV per atom
# Crystal system: monoclinic

=====

# PBE-GGA Pr12Ga3H5, relaxed
data_Pr12Ga3H5
_space_group_name_H-M_alt 'P 1'
_space_group_IT_number 1
_cell_length_a 13.867
_cell_length_b 13.867
_cell_length_c 13.867
_cell_angle_alpha 109.47
_cell_angle_beta 109.47
_cell_angle_gamma 109.47
loop_
_space_group_symop_operation_xyz
'x,y,z'
loop_
_atom_site_label
_atom_site_type_symbol
_atom_site_fract_x
_atom_site_fract_y
_atom_site_fract_z
Ga1 Ga 0.750 0.375 0.125
Ga2 Ga 0.875 0.750 0.125
Ga3 Ga 0.375 0.750 0.625
Ga4 Ga 0.250 0.125 0.375
Ga5 Ga 0.875 0.125 0.250
Ga6 Ga 0.375 0.625 0.250
Ga7 Ga 0.625 0.375 0.750
Ga8 Ga 0.125 0.875 0.750
Ga9 Ga 0.750 0.875 0.625
Ga10 Ga 0.625 0.250 0.375
Ga11 Ga 0.125 0.250 0.875
Ga12 Ga 0.250 0.625 0.875
H1 H 0.125 0.375 0.250
H2 H 0.000 0.500 0.000
H3 H 0.000 0.000 0.000
H4 H 0.375 0.250 0.125
H5 H 0.500 0.000 0.500
H6 H 0.500 0.500 0.000
H7 H 0.125 0.750 0.375
H8 H 0.750 0.125 0.875
H9 H 0.750 0.625 0.375
H10 H 0.375 0.125 0.750
H11 H 0.625 0.875 0.250
H12 H 0.500 0.500 0.500
H13 H 0.500 0.000 0.000
H14 H 0.000 0.000 0.500
H15 H 0.250 0.375 0.625
H16 H 0.250 0.875 0.125
H17 H 0.000 0.500 0.500
H18 H 0.875 0.250 0.625
H19 H 0.625 0.750 0.875
H20 H 0.875 0.625 0.750
Pr1 Pr 0.711 0.114 0.022
Pr2 Pr 0.311 0.522 0.408
Pr3 Pr 0.978 0.386 0.289
Pr4 Pr 0.522 0.211 0.114
Pr5 Pr 0.597 0.711 0.689
Pr6 Pr 0.978 0.592 0.189
Pr7 Pr 0.311 0.789 0.403
Pr8 Pr 0.092 0.903 0.114
Pr9 Pr 0.592 0.978 0.689
Pr10 Pr 0.711 0.597 0.189
Pr11 Pr 0.789 0.478 0.386
Pr12 Pr 0.811 0.908 0.022
Pr13 Pr 0.114 0.711 0.522
Pr14 Pr 0.386 0.408 0.097
Pr15 Pr 0.097 0.908 0.386
Pr16 Pr 0.403 0.114 0.592
Pr17 Pr 0.097 0.189 0.211
Pr18 Pr 0.478 0.689 0.092
Pr19 Pr 0.811 0.903 0.289
Pr20 Pr 0.114 0.403 0.092
Pr21 Pr 0.386 0.978 0.789
Pr22 Pr 0.592 0.614 0.403
Pr23 Pr 0.908 0.811 0.522
Pr24 Pr 0.789 0.311 0.903
Pr25 Pr 0.408 0.386 0.597
Pr26 Pr 0.092 0.189 0.478
Pr27 Pr 0.211 0.689 0.097
Pr28 Pr 0.189 0.097 0.711
Pr29 Pr 0.614 0.022 0.211
Pr30 Pr 0.886 0.597 0.908
Pr31 Pr 0.522 0.311 0.908
Pr32 Pr 0.597 0.886 0.408
Pr33 Pr 0.903 0.811 0.789
Pr34 Pr 0.903 0.092 0.614
Pr35 Pr 0.886 0.289 0.478
Pr36 Pr 0.189 0.092 0.978
Pr37 Pr 0.614 0.592 0.903
Pr38 Pr 0.408 0.022 0.311
Pr39 Pr 0.289 0.403 0.811
Pr40 Pr 0.211 0.522 0.614
Pr41 Pr 0.908 0.097 0.886
Pr42 Pr 0.689 0.211 0.597
Pr43 Pr 0.478 0.789 0.886
Pr44 Pr 0.022 0.408 0.811
Pr45 Pr 0.403 0.289 0.311
Pr46 Pr 0.022 0.614 0.711
Pr47 Pr 0.689 0.478 0.592
Pr48 Pr 0.289 0.886 0.978
# DFT total energy: -4.442 eV per atom
# Crystal system: cubic

=====

# PBE-GGA Pr5Ga2H, relaxed
data_Pr5Ga2H
_space_group_name_H-M_alt 'P 1'
_space_group_IT_number 1
_cell_length_a 7.081
_cell_length_b 7.081
_cell_length_c 6.677
_cell_angle_alpha 121.97
_cell_angle_beta 121.97
_cell_angle_gamma 90.05
loop_
_space_group_symop_operation_xyz
'x,y,z'
loop_
_atom_site_label
_atom_site_type_symbol
_atom_site_fract_x
_atom_site_fract_y
_atom_site_fract_z
Pr1 Pr 0.749 0.250 0.999
Pr2 Pr 0.251 0.251 0.000
Pr3 Pr 0.749 0.749 0.000
Pr4 Pr 0.250 0.749 0.999
Pr5 Pr 0.754 0.754 0.508
Ga1 Ga 0.252 0.752 0.503
Ga2 Ga 0.752 0.252 0.503
H1 H 0.020 0.020 0.040
# DFT total energy: -4.350 eV per atom
# Crystal system: tetragonal